Record 1
# Tb4PmMg2

A relaxed Tb4PmMg2 crystal (PBE, Alexandria via LeMat-Bulk). Values from VASP.

```
&SYSTEM
  ibrav = 0, nat = 7, ntyp = 3
/
ATOMIC_SPECIES
Tb 158.93 Tb.upf
Pm 145.00 Pm.upf
Mg 24.30 Mg.upf
CELL_PARAMETERS angstrom
-2.778 2.778 8.010
2.778 -2.778 8.010
2.778 2.778 -8.010
ATOMIC_POSITIONS angstrom
Tb 2.778 0.000 0.000
Tb 0.000 0.000 3.000
Tb 0.000 2.778 0.000
Tb 0.000 0.000 13.021
Pm 0.000 0.000 0.000
Mg 0.000 0.000 6.219
Mg 0.000 0.000 9.802
```

## Properties
The calculated volume is 35.34 Å³ per atom. The value obtained for the density of states at the Fermi level is 10.1 states/eV/cell. The value obtained for the formation energy from the elements is 0.654 eV/atom.

***

Record 2
# Tb3Pm3Mg2

A relaxed Tb3Pm3Mg2 crystal (PBE, Alexandria via LeMat-Bulk). Values from VASP.

```
&SYSTEM
  ibrav = 0, nat = 16, ntyp = 3
/
ATOMIC_SPECIES
Tb 158.93 Tb.upf
Pm 145.00 Pm.upf
Mg 24.30 Mg.upf
CELL_PARAMETERS angstrom
2.692 -5.900 0.000
2.692 5.900 0.000
0.000 0.000 15.796
ATOMIC_POSITIONS angstrom
Tb 2.692 5.336 9.510
Tb 2.692 5.336 14.184
Tb 2.692 2.876 11.847
Tb 2.692 -2.876 3.949
Tb 2.692 -5.336 1.612
Tb 2.692 -5.336 6.286
Pm 2.692 1.707 8.347
Pm 2.692 1.707 15.347
Pm 2.692 0.398 3.949
Pm 2.692 -0.398 11.847
Pm 2.692 -1.707 0.449
Pm 2.692 -1.707 7.449
Mg 2.692 3.361 2.350
Mg 2.692 3.361 5.548
Mg 2.692 -3.361 10.248
Mg 2.692 -3.361 13.446
```

## Properties
The calculated volume is 31.36 Å³ per atom. The value obtained for the density of states at the Fermi level is 23.9 states/eV/cell. The value obtained for the formation energy from the elements is 0.070 eV/atom.